DFT (PBE) results for a relaxed structure of Ta2Nb3Mo2.

The offset from the most stable computed form comes out at 0 meV per atom. The value obtained for the volume is 17.4 A^3/atom. For the mass density, the calculation gives 11.32 Mg/m³. The value obtained for the spin magnetization is 0.0 μB/f.u.

The structure in extended XYZ format:
```
7
Lattice="2.315 1.336 6.576 -2.315 1.336 6.576 0.000 -2.673 6.576" Properties=species:S:1:pos:R:3 pbc="T T T"
Ta 0.000 0.000 1.482
Ta 0.000 0.000 18.245
Nb 0.000 0.000 6.980
Nb 0.000 0.000 9.863
Nb 0.000 0.000 12.747
Mo 0.000 0.000 4.237
Mo 0.000 0.000 15.490
```

DFT (PBE) results for a relaxed structure of TaNb5Mo.

The value obtained for the volume is 19.3 A^3/atom. The value obtained for the total energy is -0.7454 Ry per atom. For the mass density, the calculation gives 9.11 Mg/m³. The value obtained for the spin magnetization is 0.0 μB/f.u.

The structure in extended XYZ format:
```
7
Lattice="4.583 0.000 0.000 0.000 4.583 0.000 0.000 0.000 6.436" Properties=species:S:1:pos:R:3 pbc="T T T"
Ta 0.000 0.000 0.000
Nb 0.000 2.292 1.676
Nb 0.000 2.292 4.760
Nb 2.292 0.000 1.676
Nb 2.292 0.000 4.760
Nb 2.292 2.292 0.000
Mo 0.000 0.000 3.218
```

DFT (PBE) results for a relaxed structure of Ta2NbMo8.

The value obtained for the volume is 16.4 A^3/atom. The value obtained for the total energy is -0.8130 Ry per atom. For the mass density, the calculation gives 11.25 Mg/m³. The value obtained for the spin magnetization is 0.0 μB/f.u.

The structure in extended XYZ format:
```
11
Lattice="8.173 -1.599 0.000 8.173 1.599 0.000 -1.887 0.000 6.901" Properties=species:S:1:pos:R:3 pbc="T T T"
Ta 3.435 0.000 0.976
Ta 11.024 0.000 5.925
Nb 7.229 0.000 3.450
Mo 0.322 0.000 1.540
Mo 0.942 0.000 4.699
Mo 4.114 0.000 4.057
Mo 6.621 0.000 0.322
Mo 7.837 0.000 6.579
Mo 10.345 0.000 2.844
Mo 13.516 0.000 2.202
Mo 14.137 0.000 5.360
```

mass density of number 3 (Ta2NbMo8)? 11.25 Mg/m³

Which formula does entry 1 have? Ta2Nb3Mo2

Look up the volume of the third one. 16.4 A^3/atom